Record 1
DFT (meta-GGA SCAN) results for a crystal of MgTc2Pb relaxed with PBEsol.

Structure (CIF):
```
data_MgTc2Pb
_chemical_formula_sum 'Mg2 Tc4 Pb2'
_cell_length_a 3.9514
_cell_length_b 3.9514
_cell_length_c 8.6358
_cell_angle_alpha 90.00
_cell_angle_beta 90.00
_cell_angle_gamma 90.00
_space_group_name_H-M_alt 'P 1'
_space_group_IT_number 1
loop_
_space_group_symop_operation_xyz
'x,y,z'
loop_
_atom_site_label
_atom_site_fract_x
_atom_site_fract_y
_atom_site_fract_z
Mg1 0.0000 0.0000 0.0000
Mg2 0.5000 0.5000 0.5000
Tc1 0.0000 0.5000 0.2500
Tc2 0.0000 0.5000 0.7500
Tc3 0.5000 0.0000 0.2500
Tc4 0.5000 0.0000 0.7500
Pb1 0.0000 0.0000 0.5000
Pb2 0.5000 0.5000 0.0000
```

ΔH_f (0 K)   582 meV per atom

Record 2
DFT (meta-GGA SCAN) results for a crystal of MnAuCl2 relaxed with PBEsol.

Structure (CIF):
```
data_MnAuCl2
_chemical_formula_sum 'Mn3 Au3 Cl6'
_cell_length_a 3.4894
_cell_length_b 3.4894
_cell_length_c 23.2272
_cell_angle_alpha 90.00
_cell_angle_beta 90.00
_cell_angle_gamma 120.00
_space_group_name_H-M_alt 'P 1'
_space_group_IT_number 1
loop_
_space_group_symop_operation_xyz
'x,y,z'
loop_
_atom_site_label
_atom_site_fract_x
_atom_site_fract_y
_atom_site_fract_z
Mn1 0.0000 0.0000 0.0000
Mn2 0.3333 0.6667 0.6667
Mn3 0.6667 0.3333 0.3333
Au1 0.0000 0.0000 0.2631
Au2 0.3333 0.6667 0.9298
Au3 0.6667 0.3333 0.5965
Cl1 0.0000 0.0000 0.5251
Cl2 0.0000 0.0000 0.7261
Cl3 0.3333 0.6667 0.1917
Cl4 0.3333 0.6667 0.3928
Cl5 0.6667 0.3333 0.0594
Cl6 0.6667 0.3333 0.8584
```

Energy relative to the elements, uncorrected   -3.0 eV per formula unit

Record 3
DFT (meta-GGA SCAN) results for a crystal of Zr2NbAl2 relaxed with PBEsol.

Structure (CIF):
```
data_Zr2NbAl2
_chemical_formula_sum 'Zr4 Nb2 Al4'
_cell_length_a 7.1748
_cell_length_b 7.1748
_cell_length_c 3.6903
_cell_angle_alpha 90.00
_cell_angle_beta 90.00
_cell_angle_gamma 90.00
_space_group_name_H-M_alt 'P 1'
_space_group_IT_number 1
loop_
_space_group_symop_operation_xyz
'x,y,z'
loop_
_atom_site_label
_atom_site_fract_x
_atom_site_fract_y
_atom_site_fract_z
Zr1 0.1764 0.3236 0.0000
Zr2 0.3236 0.8236 0.0000
Zr3 0.6764 0.1764 0.0000
Zr4 0.8236 0.6764 0.0000
Nb1 0.0000 0.0000 0.5000
Nb2 0.5000 0.5000 0.5000
Al1 0.1254 0.6254 0.5000
Al2 0.3746 0.1254 0.5000
Al3 0.6254 0.8746 0.5000
Al4 0.8746 0.3746 0.5000
```

ΔH_f (0 K)   -345 meV per atom

Record 4
DFT (meta-GGA SCAN) results for a crystal of MnW8 relaxed with PBEsol.

Structure (CIF):
```
data_MnW8
_chemical_formula_sum 'Mn1 W8'
_cell_length_a 6.7877
_cell_length_b 6.7877
_cell_length_c 6.7877
_cell_angle_alpha 93.07
_cell_angle_beta 93.07
_cell_angle_gamma 153.23
_space_group_name_H-M_alt 'P 1'
_space_group_IT_number 1
loop_
_space_group_symop_operation_xyz
'x,y,z'
loop_
_atom_site_label
_atom_site_fract_x
_atom_site_fract_y
_atom_site_fract_z
Mn1 0.0000 0.0000 0.0000
W1 0.0000 0.3309 0.3309
W2 0.0000 0.6691 0.6691
W3 0.3309 0.0000 0.3309
W4 0.3362 0.3362 0.6725
W5 0.3362 0.6638 0.0000
W6 0.6638 0.3362 0.0000
W7 0.6638 0.6638 0.3275
W8 0.6691 0.0000 0.6691
```

ΔH_f (0 K)   59 meV per atom

Record 5
DFT (meta-GGA SCAN) results for a crystal of MgHg2P relaxed with PBEsol.

Structure (CIF):
```
data_MgHg2P
_chemical_formula_sum 'Mg1 Hg2 P1'
_cell_length_a 3.6541
_cell_length_b 3.6541
_cell_length_c 7.0196
_cell_angle_alpha 90.00
_cell_angle_beta 90.00
_cell_angle_gamma 90.00
_space_group_name_H-M_alt 'P 1'
_space_group_IT_number 1
loop_
_space_group_symop_operation_xyz
'x,y,z'
loop_
_atom_site_label
_atom_site_fract_x
_atom_site_fract_y
_atom_site_fract_z
Mg1 0.0000 0.0000 0.0000
Hg1 0.0000 0.0000 0.4126
Hg2 0.5000 0.5000 0.6359
P1 0.5000 0.5000 0.0010
```

ΔH_f (0 K)   -40 meV per atom

Record 6
DFT (meta-GGA SCAN) results for a crystal of HfWSe3 relaxed with PBEsol.

Structure (CIF):
```
data_HfWSe3
_chemical_formula_sum 'Hf1 W1 Se3'
_cell_length_a 5.0367
_cell_length_b 5.0367
_cell_length_c 5.0367
_cell_angle_alpha 90.00
_cell_angle_beta 90.00
_cell_angle_gamma 90.00
_space_group_name_H-M_alt 'P 1'
_space_group_IT_number 1
loop_
_space_group_symop_operation_xyz
'x,y,z'
loop_
_atom_site_label
_atom_site_fract_x
_atom_site_fract_y
_atom_site_fract_z
Hf1 0.0000 0.0000 0.0000
W1 0.5000 0.5000 0.5000
Se1 0.0000 0.0000 0.5000
Se2 0.0000 0.5000 0.0000
Se3 0.5000 0.0000 0.0000
```

Energy relative to the elements, uncorrected   3.2 eV per formula unit